# 1
A relaxed structure of Sb2RuPt, computed with PBE.

- uncorrected formation energy (eV/atom) = 0.070
- crystal system = orthorhombic
- E above lowest polymorph (meV/atom) = 209

Cell lengths 3.3649, 3.3805, 6.6193 Å; angles 90.00, 90.00, 90.00 degrees
Space group Pmmm (No. 47)
One atom of each set of equivalent atoms:
1 Sb 0.0000 0.0000 0.2428 x2
2 Ru 0.5000 0.5000 0.0000 x1
3 Pt 0.5000 0.5000 0.5000 x1


# 2
A relaxed structure of Li4IN2, computed with PBE.

- uncorrected formation energy (eV/atom) = -0.207
- crystal system = monoclinic

Cell lengths 11.8451, 6.7098, 3.7706 Å; angles 90.00, 107.57, 90.00 degrees
Space group C2/m (No. 12)
One atom of each set of equivalent atoms:
1 Li 0.1090 0.1985 0.1041 x8
2 I 0.0000 0.5000 0.5000 x2
3 N 0.0000 0.0000 0.3357 x4


# 3
A relaxed structure of Hf2ScPb, computed with PBE.

- ΔH_f (0 K) (eV per atom) = 0.2781
- crystal system = trigonal

Cell lengths 3.2237, 3.2237, 33.4830 Å; angles 90.00, 90.00, 120.00 degrees
Space group R-3m (No. 166, hexagonal axes)
One atom of each set of equivalent atoms:
1 Hf 0.0000 0.0000 0.0897 x6
2 Sc 0.0000 0.0000 0.5000 x3
3 Pb 0.0000 0.0000 0.0000 x3


# 4
A relaxed structure of CuAu2Se, computed with PBE.

- uncorrected formation energy (eV/atom) = 0.264
- crystal system = cubic

Cell lengths 6.5777, 6.5777, 6.5777 Å; angles 90.00, 90.00, 90.00 degrees
Space group F-43m (No. 216)
One atom of each set of equivalent atoms:
1 Cu 0.0000 0.0000 0.0000 x4
2 Au 0.0000 0.0000 0.5000 x4
3 Au 0.2500 0.2500 0.7500 x4
4 Se 0.2500 0.2500 0.2500 x4


# 5
A relaxed structure of KNb6S8, computed with PBE.

- uncorrected formation energy (eV/atom) = -1.146
- crystal system = trigonal
- E above lowest polymorph (meV/atom) = 0

Cell lengths 9.7185, 9.7185, 3.4205 Å; angles 90.00, 90.00, 120.00 degrees
Space group P-3 (No. 147)
One atom of each set of equivalent atoms:
1 K 0.0000 0.0000 0.0000 x1
2 Nb 0.1114 0.6248 0.2491 x6
3 S 0.0574 0.3454 0.2521 x6
4 S 0.3333 0.6667 0.7493 x2


# 6
A relaxed structure of CsAg2PdF6, computed with PBE.

- uncorrected formation energy (eV/atom) = -1.414
- crystal system = monoclinic

Cell lengths 10.9894, 9.0610, 7.8997 Å; angles 90.00, 115.35, 90.00 degrees
Space group C2/c (No. 15)
One atom of each set of equivalent atoms:
1 Cs 0.0000 0.1391 0.2500 x4
2 Ag 0.1698 0.4967 0.7312 x8
3 Pd 0.0000 0.2790 0.7500 x4
4 F 0.1133 0.2802 0.0205 x8
5 F 0.1322 0.1348 0.6988 x8
6 F 0.1618 0.4126 0.4740 x8


# 7
A relaxed structure of Y4SnAsS2, computed with PBE.

- uncorrected formation energy (eV/atom) = -1.543
- crystal system = orthorhombic

Cell lengths 8.1279, 8.2608, 11.6399 Å; angles 90.00, 90.00, 90.00 degrees
Space group Imma (No. 74)
One atom of each set of equivalent atoms:
1 Y 0.0000 0.0140 0.2489 x8
2 Y 0.2494 0.2500 0.0053 x8
3 Sn 0.2500 0.2500 0.7500 x4
4 As 0.0000 0.0000 0.5000 x4
5 S 0.0000 0.0000 0.0000 x4
6 S 0.2500 0.2500 0.2500 x4


# 8
A relaxed structure of SrTlHg3, computed with PBE.

- ΔH_f (0 K) (eV per atom) = 0.2385
- crystal system = cubic
- E above lowest polymorph (meV/atom) = 552

Cell lengths 6.1884, 6.1884, 6.1884 Å; angles 90.00, 90.00, 90.00 degrees
Space group Pm-3m (No. 221)
One atom of each set of equivalent atoms:
1 Sr 0.0000 0.0000 0.0000 x1
2 Tl 0.5000 0.5000 0.5000 x1
3 Hg 0.0000 0.0000 0.5000 x3


Number 8 is which compound? SrTlHg3